Entry from the Alexandria database: a relaxed LiSiAs crystal (PBEsol).

## Properties
Density of states at the Fermi level, states/eV/atom: 0.458
Crystal system: cubic
Symmetry: F-43m (216)
Size of the total moment, μB per atom: 0.00
Offset from the most stable computed form, kJ/mol of atoms: 30.3
VASP energy, eV per atom: -4.157

Unit cell a=4.332 b=4.332 c=4.332 alpha=60.00 beta=60.00 gamma=60.00
Fractional positions:
Li 0.000 0.000 0.000
Si 0.750 0.750 0.750
As 0.500 0.500 0.500